No. 1
The following is a DFT calculation (PBE-GGA) of an optimized crystal structure of KFe2Te.

Cell: 6.0896 6.0896 3.0127 Å, 75.36 75.36 117.49°
Each line ends with the local moment (μB).
Positions (direct):
Fe1 0.0000 0.0000 0.0000  2.93
Fe2 0.5000 0.5000 0.0000  2.93
Te1 0.0000 0.5000 0.5000  0.04
K1 0.5000 0.0000 0.5000  -0.03

Calculated values
As for the total energy: -17.56 eV for the cell shown. The uncorrected formation energy is 0.90 eV per atom.



No. 2
The following is a DFT calculation (PBE-GGA) of an optimized crystal structure of MgH4NCl3.

Cell: 7.3567 6.3565 14.7219 Å, 90.18 120.01 89.84°
Positions (direct):
Cl1 0.3214 0.7790 0.0770
Cl2 0.6267 0.3022 0.6169
Cl3 0.2482 0.2799 0.1886
Cl4 0.7660 0.2797 0.3723
Cl5 0.6148 0.2785 0.1130
Cl6 0.8390 0.7787 0.2606
Cl7 0.3271 0.8031 0.5757
Cl8 0.4724 0.7804 0.3363
Cl9 0.4605 0.8042 0.8323
Cl10 0.2456 0.3041 0.6834
Cl11 0.7603 0.3038 0.8736
Cl12 0.8417 0.8029 0.7658
H1 0.0131 0.8448 0.0615
H2 0.3425 0.3533 0.4639
H3 0.8742 0.0662 0.5577
H4 0.7450 0.8540 0.9854
H5 0.2079 0.5621 0.3911
H6 0.8798 0.0617 0.0594
H7 0.0207 0.8556 0.5663
H8 0.0744 0.3453 0.3878
H9 0.3345 0.3463 0.9586
H10 0.2187 0.3552 0.8247
H11 0.8611 0.8451 0.1193
H12 0.8689 0.8544 0.6245
H13 0.7530 0.8474 0.4906
H14 0.2131 0.5659 0.8927
H15 0.0668 0.3553 0.8829
H16 0.2264 0.3463 0.3300
Mg1 0.5437 0.0300 0.2247
Mg2 0.5438 0.5300 0.2247
Mg3 0.5437 0.0549 0.7247
Mg4 0.5437 0.5549 0.7246
N1 0.8746 0.8999 0.0562
N2 0.2129 0.4003 0.3933
N3 0.2082 0.4041 0.8896
N4 0.8793 0.9043 0.5599

Calculated values
As for the total energy: -153.44 eV for the cell shown.



No. 3
The following is a DFT calculation (PBE-GGA) of an optimized crystal structure of KPt2.

Cell: 2.8256 2.8256 8.0220 Å, 90.00 90.00 120.00°
Positions (direct):
Pt1 0.3333 0.6667 0.6546
Pt2 0.6667 0.3333 0.3454
K1 0.0000 0.0000 0.0000

Calculated values
The calculation puts the energy relative to the elements at 29 kJ per mole of atoms. As for the total energy: -12.27 eV for the cell shown.



Number 1: magnetization 5.71 μB/f.u.. Number 2: magnetization 0.00 μB/f.u.. Number 3: magnetization 0.00 μB/f.u..